Material: Pr2ZrAs3Rh4
Method: DFT, PBE
State: relaxed

Lattice parameters (Å, degrees): 4.1542 4.1542 11.1536 90.00 90.00 90.00
Closest atoms and distances in Å follow each position.
Positions (direct):
As 0.0000 0.0000 0.5000  4 Rh 2.64, 4 Zr 2.94
As 0.5000 0.0000 0.8669  5 Rh 2.47-2.55
As 0.0000 0.5000 0.1331  5 Rh 2.47-2.55
Pr 0.0000 0.5000 0.7728  4 As 3.12, 8 Rh 3.26-3.28
Pr 0.5000 0.0000 0.2272  4 As 3.12, 8 Rh 3.26-3.28
Rh 0.0000 0.5000 0.3545  3 As 2.47-2.64, 2 Zr 2.64
Rh 0.0000 0.0000 0.0000  4 As 2.55
Rh 0.5000 0.0000 0.6455  3 As 2.47-2.64, 2 Zr 2.64
Rh 0.5000 0.5000 0.0000  4 As 2.55
Zr 0.5000 0.5000 0.5000  4 Rh 2.64, 4 As 2.94

Computed properties:
uncorrected energy = -7.101 eV per atom
space-group type = P-4m2 (115)

---

Material: KZrH2
Method: DFT, PBE
State: relaxed

Lattice parameters (Å, degrees): 5.8583 5.8583 5.8848 60.15 60.15 90.00
Closest atoms and distances in Å follow each position.
Positions (direct):
H 0.7390 0.1250 0.2500  2 Zr 1.97
H 0.8750 0.9890 0.7500  2 Zr 1.97
H 0.0110 0.6250 0.2500  2 Zr 1.97
H 0.3750 0.2610 0.7500  2 Zr 1.97
K 0.5000 0.5000 0.0000  4 H 2.79
K 0.2500 0.7500 0.5000  4 H 2.79
Zr 0.7500 0.2500 0.5000  4 H 1.97
Zr 0.0000 0.0000 0.0000  4 H 1.97

Computed properties:
uncorrected energy = -3.977 eV per atom
space-group type = I-42d (122)

---

Material: ReRuAu2
Method: DFT, PBE
State: relaxed

Lattice parameters (Å, degrees): 4.4945 4.4945 4.4945 60.00 60.00 60.00
Closest atoms and distances in Å follow each position.
Positions (direct):
Au 0.2500 0.2500 0.2500  4 Re 2.75, 4 Ru 2.75
Au 0.7500 0.7500 0.7500  4 Re 2.75, 4 Ru 2.75
Re 0.5000 0.5000 0.5000  8 Au 2.75
Ru 0.0000 0.0000 0.0000  8 Au 2.75

Computed properties:
uncorrected energy = -6.356 eV per atom
space-group type = Fm-3m (225)

---

Material: SiTcSeBr2
Method: DFT, PBE
State: relaxed

Lattice parameters (Å, degrees): 5.1596 5.1596 4.7675 90.00 90.00 90.00
Closest atoms and distances in Å follow each position.
Positions (direct):
Si 0.5000 0.5000 0.5000  8 Br 3.51, 4 Se 3.65
Se 0.0000 0.0000 0.5000  2 Tc 2.38
Br 0.5000 0.0000 0.0000  2 Tc 2.58
Br 0.0000 0.5000 0.0000  2 Tc 2.58
Tc 0.0000 0.0000 0.0000  2 Se 2.38, 4 Br 2.58

Computed properties:
space-group type = P4/mmm (123)
raw formation energy = 0.61 eV per atom